[1]
# Sm3Dy4HoS8

A relaxed Sm3Dy4HoS8 crystal (PBE, the Alexandria database).

Results
Formation energy without anion corrections: -1997 meV/atom

a = 7.8771 Å, b = 7.8955 Å, c = 7.8765 Å
α = 119.91°, β = 120.00°, γ = 90.00°
Closest atoms and distances in Å follow each position.
Sites, in units of the cell vectors:
Sm (0.5000, 0.5000, 0.0000)  6 S 2.83
Sm (0.5000, 0.5000, 0.5000)  6 S 2.83
Sm (0.0000, 0.5000, 0.5000)  6 S 2.83
Dy (0.5000, 0.0000, 0.0000)  6 S 2.80
Dy (0.5000, 0.0000, 0.5000)  6 S 2.75
Dy (0.0000, 0.0000, 0.0000)  6 S 2.75
Dy (0.0000, 0.0000, 0.5000)  6 S 2.75
Ho (0.0000, 0.5000, 0.0000)  6 S 2.78
S (0.2493, 0.7562, 0.0069)  3 Dy 2.75-2.80, 1 Ho 2.78, 2 Sm 2.83
S (0.2493, 0.7562, 0.4986)  3 Dy 2.75-2.80, 1 Ho 2.78, 2 Sm 2.83
S (0.2465, 0.2395, 0.4930)  3 Dy 2.75, 3 Sm 2.83
S (0.7576, 0.7562, 0.0069)  3 Dy 2.75-2.80, 1 Ho 2.78, 2 Sm 2.83
S (0.2424, 0.2438, 0.9931)  3 Dy 2.75-2.80, 1 Ho 2.78, 2 Sm 2.83
S (0.7535, 0.7605, 0.5070)  3 Dy 2.75, 3 Sm 2.83
S (0.7507, 0.2438, 0.5014)  3 Dy 2.75-2.80, 1 Ho 2.78, 2 Sm 2.83
S (0.7507, 0.2438, 0.9931)  3 Dy 2.75-2.80, 1 Ho 2.78, 2 Sm 2.83



[2]
# ScNiW2

A relaxed ScNiW2 crystal (PBE, the Alexandria database).

Results
Energy above the lowest structure with this stoichiometry: 111 meV per atom
E_form: 0.175 eV per atom

a = 5.2439 Å, b = 5.2439 Å, c = 5.2439 Å
α = 137.72°, β = 137.72°, γ = 61.33°
Closest atoms and distances in Å follow each position.
Sites, in units of the cell vectors:
Ni (0.2500, 0.7500, 0.5000)  4 Sc 2.67, 8 W 2.94
Sc (0.7500, 0.2500, 0.5000)  4 Ni 2.67, 8 W 2.94
W (0.0000, 0.0000, 0.0000)  4 W 2.67, 4 Sc 2.94, 4 Ni 2.94
W (0.5000, 0.5000, 0.0000)  4 W 2.67, 4 Ni 2.94, 4 Sc 2.94



[3]
# BaRhSe2

A relaxed BaRhSe2 crystal (PBE, the Alexandria database).

Results
Formation energy without anion corrections: -235 meV/atom
Energy above the lowest structure with this stoichiometry: 723 meV per atom

a = 6.0251 Å, b = 6.0251 Å, c = 6.0251 Å
α = 137.47°, β = 137.47°, γ = 61.72°
Closest atoms and distances in Å follow each position.
Sites, in units of the cell vectors:
Ba (0.5000, 0.5000, 0.0000)  8 Se 3.09-3.39, 4 Rh 3.39
Rh (0.7500, 0.2500, 0.5000)  8 Se 3.09-3.39, 4 Ba 3.39
Se (0.0000, 0.0000, 0.0000)  4 Ba 3.09, 4 Se 3.39, 4 Rh 3.39
Se (0.2500, 0.7500, 0.5000)  4 Rh 3.09, 4 Ba 3.39, 4 Se 3.39



[4]
# PmDy2Tm4

A relaxed PmDy2Tm4 crystal (PBE, the Alexandria database).

Results
Energy above the lowest structure with this stoichiometry: 92 meV per atom
E_form: 0.130 eV per atom

a = 6.0045 Å, b = 6.5376 Å, c = 11.5776 Å
α = 90.00°, β = 106.26°, γ = 90.00°
Closest atoms and distances in Å follow each position.
Sites, in units of the cell vectors:
Pm (0.1775, 0.7500, 0.1349)  2 Dy 3.29-3.32, 6 Tm 3.29-3.45
Pm (0.8225, 0.2500, 0.8651)  2 Dy 3.29-3.32, 6 Tm 3.29-3.45
Dy (0.6130, 0.7500, 0.0111)  2 Pm 3.29-3.32, 3 Tm 3.39-3.62, 2 Dy 3.52
Dy (0.3870, 0.2500, 0.9889)  2 Pm 3.29-3.32, 3 Tm 3.39-3.62, 2 Dy 3.52
Dy (0.2896, 0.2500, 0.4497)  9 Tm 3.23-3.51
Dy (0.7104, 0.7500, 0.5503)  9 Tm 3.23-3.51
Tm (0.6343, 0.4924, 0.2907)  4 Tm 3.17-3.45, 1 Pm 3.29, 2 Dy 3.36-3.51
Tm (0.9783, 0.7500, 0.8343)  2 Dy 3.23-3.39, 3 Pm 3.35-3.45, 2 Tm 3.45
Tm (0.0217, 0.2500, 0.1657)  2 Dy 3.23-3.39, 3 Pm 3.35-3.45, 2 Tm 3.45
Tm (0.6343, 0.0076, 0.2907)  4 Tm 3.17-3.45, 1 Pm 3.29, 2 Dy 3.36-3.51
Tm (0.8577, 0.2500, 0.5798)  4 Dy 3.32-3.38, 1 Pm 3.37, 4 Tm 3.44-3.61
Tm (0.3657, 0.9924, 0.7093)  4 Tm 3.17-3.45, 1 Pm 3.29, 2 Dy 3.36-3.51
Tm (0.3657, 0.5076, 0.7093)  4 Tm 3.17-3.45, 1 Pm 3.29, 2 Dy 3.36-3.51
Tm (0.1423, 0.7500, 0.4202)  4 Dy 3.32-3.38, 1 Pm 3.37, 4 Tm 3.44-3.61



[5]
# Li2SiH

A relaxed Li2SiH crystal (PBE, the Alexandria database).

Results
Energy above the lowest structure with this stoichiometry: 194 meV per atom

a = 5.4332 Å, b = 5.4332 Å, c = 5.1855 Å
α = 58.41°, β = 58.41°, γ = 90.00°
Closest atoms and distances in Å follow each position.
Sites, in units of the cell vectors:
H (0.5000, 0.5000, 0.0000)  4 Li 1.70
H (0.2500, 0.7500, 0.5000)  4 Li 1.70
Si (0.0000, 0.0000, 0.0000)  8 Li 2.70-2.99
Si (0.7500, 0.2500, 0.5000)  8 Li 2.70-2.99
Li (0.4757, 0.1250, 0.2500)  2 H 1.70
Li (0.2743, 0.6250, 0.2500)  2 H 1.70
Li (0.3750, 0.5243, 0.7500)  2 H 1.70
Li (0.8750, 0.7257, 0.7500)  2 H 1.70



[6]
# La6Dy5Sc

A relaxed La6Dy5Sc crystal (PBE, the Alexandria database).

Results
E_form: 0.031 eV per atom

a = 5.2146 Å, b = 9.8704 Å, c = 9.6004 Å
α = 120.94°, β = 105.81°, γ = 90.00°
Closest atoms and distances in Å follow each position.
Sites, in units of the cell vectors:
Sc (0.0000, 0.0000, 0.0000)  8 La 3.55, 4 Dy 3.69
Dy (0.6671, 0.1671, 0.3342)  8 La 3.55-3.62, 2 Sc 3.69, 2 Dy 3.70
Dy (0.3350, 0.3350, 0.6700)  8 La 3.60-3.61, 4 Dy 3.66-3.70
Dy (0.0000, 0.5000, 0.0000)  8 La 3.59-3.63, 4 Dy 3.66-3.67
Dy (0.6650, 0.6650, 0.3300)  8 La 3.60-3.61, 4 Dy 3.66-3.70
Dy (0.3329, 0.8329, 0.6658)  8 La 3.55-3.62, 2 Sc 3.69, 2 Dy 3.70
La (0.8346, 0.5877, 0.6692)  1 Sc 3.55, 7 Dy 3.57-3.62, 4 La 3.67-3.71
La (0.8346, 0.0815, 0.6692)  1 Sc 3.55, 7 Dy 3.57-3.62, 4 La 3.67-3.72
La (0.5000, 0.7561, 0.0000)  2 Sc 3.55, 6 Dy 3.55-3.63, 4 La 3.67
La (0.5000, 0.2439, 0.0000)  2 Sc 3.55, 6 Dy 3.55-3.63, 4 La 3.67
La (0.1654, 0.9185, 0.3308)  1 Sc 3.55, 7 Dy 3.57-3.62, 4 La 3.67-3.72
La (0.1654, 0.4123, 0.3308)  1 Sc 3.55, 7 Dy 3.57-3.62, 4 La 3.67-3.71



[7]
# LiCd3W

A relaxed LiCd3W crystal (PBE, the Alexandria database).

Results
Energy above the lowest structure with this stoichiometry: 0 meV per atom
E_form: 0.996 eV per atom

a = 5.3956 Å, b = 5.3956 Å, c = 5.3956 Å
α = 90.00°, β = 90.00°, γ = 90.00°
Closest atoms and distances in Å follow each position.
Sites, in units of the cell vectors:
Li (0.5000, 0.5000, 0.5000)  12 Cd 3.82
W (0.0000, 0.0000, 0.0000)  6 Cd 2.70
Cd (0.0000, 0.5000, 0.0000)  2 W 2.70
Cd (0.0000, 0.0000, 0.5000)  2 W 2.70
Cd (0.5000, 0.0000, 0.0000)  2 W 2.70



[8]
# Zn2SiTe

A relaxed Zn2SiTe crystal (PBE, the Alexandria database).

Results
Formation energy without anion corrections: 406 meV/atom
Energy above the lowest structure with this stoichiometry: 338 meV per atom

a = 3.8563 Å, b = 4.5540 Å, c = 4.5540 Å
α = 90.00°, β = 90.00°, γ = 90.00°
Closest atoms and distances in Å follow each position.
Sites, in units of the cell vectors:
Si (0.5000, 0.5000, 0.0000)  8 Zn 2.98, 4 Te 3.22
Te (0.5000, 0.0000, 0.5000)  8 Zn 2.98, 4 Si 3.22
Zn (0.0000, 0.0000, 0.0000)  4 Si 2.98, 4 Te 2.98, 4 Zn 3.22
Zn (0.0000, 0.5000, 0.5000)  4 Te 2.98, 4 Si 2.98, 4 Zn 3.22